1.
The following is a PBE calculation of a relaxed structure of Cs2MnAuI6, from Alexandria. Values from VASP.

Geometry as Quantum ESPRESSO input:
```
&SYSTEM
  ibrav = 0, nat = 10, ntyp = 4
/
ATOMIC_SPECIES
Cs 132.91 Cs.upf
Mn 54.94 Mn.upf
Au 196.97 Au.upf
I 126.90 I.upf
ATOMIC_POSITIONS angstrom
Cs 4.099 0.000 3.114
Cs 0.000 4.099 3.114
Mn 0.000 0.000 0.000
Au 0.000 0.000 6.229
I 0.000 0.000 2.673
I 2.112 2.112 0.000
I 1.986 -1.986 6.229
I -1.986 1.986 6.229
I 1.986 1.986 6.229
I 0.000 0.000 9.784
CELL_PARAMETERS angstrom
-4.099 4.099 6.229
4.099 -4.099 6.229
4.099 4.099 -6.229
```

2.
The following is a PBE calculation of a relaxed structure of Cs2MoAuI6, from Alexandria. Values from VASP.

Geometry as Quantum ESPRESSO input:
```
&SYSTEM
  ibrav = 0, nat = 10, ntyp = 4
/
ATOMIC_SPECIES
Cs 132.91 Cs.upf
Mo 95.94 Mo.upf
Au 196.97 Au.upf
I 126.90 I.upf
ATOMIC_POSITIONS angstrom
Cs 4.292 0.000 2.820
Cs 0.000 4.292 2.820
Mo 0.000 0.000 0.000
Au 0.000 0.000 5.639
I 1.998 1.998 0.000
I 2.294 -2.294 5.639
I 0.000 0.000 2.882
I 0.000 0.000 8.396
I -2.294 2.294 5.639
I 2.294 2.294 5.639
CELL_PARAMETERS angstrom
-4.292 4.292 5.639
4.292 -4.292 5.639
4.292 4.292 -5.639
```

3.
The following is a PBE calculation of a relaxed structure of Cs2AuI6N, from Alexandria. Values from VASP.

Geometry as Quantum ESPRESSO input:
```
&SYSTEM
  ibrav = 0, nat = 10, ntyp = 4
/
ATOMIC_SPECIES
Cs 132.91 Cs.upf
Au 196.97 Au.upf
I 126.90 I.upf
N 14.01 N.upf
ATOMIC_POSITIONS angstrom
Cs 3.967 0.000 2.798
Cs 0.000 3.967 2.798
Au 0.000 0.000 0.000
I 2.056 2.056 0.000
I 1.911 -1.911 5.596
I 0.000 0.000 2.940
I 0.000 0.000 8.253
I -1.911 1.911 5.596
I 1.911 1.911 5.596
N 0.000 0.000 5.596
CELL_PARAMETERS angstrom
-3.967 3.967 5.596
3.967 -3.967 5.596
3.967 3.967 -5.596
```

4.
! CsAuIN2 PBE relaxed; values from VASP
&SYSTEM
  ibrav = 0, nat = 5, ntyp = 4
/
ATOMIC_SPECIES
Cs 132.91 Cs.upf
Au 196.97 Au.upf
I 126.90 I.upf
N 14.01 N.upf
ATOMIC_POSITIONS angstrom
Cs 0.000 0.000 0.000
Au 2.398 2.398 3.054
I 2.398 2.398 0.000
N 0.000 2.398 3.054
N 2.398 0.000 3.054
CELL_PARAMETERS angstrom
4.796 0.000 0.000
0.000 4.796 0.000
0.000 0.000 6.108
! polymorph energy (0 for the lowest one)	0.000	eV/atom

In order of appearance, volume = 418.57 415.59 352.22 140.50 Å³/cell.
In order of appearance, VASP energy = -31.015 -31.290 -24.753 -15.893 eV/cell.
In order of appearance, DOS at the Fermi energy = 0.0 2.5 4.5 1.3 states/eV per cell.